w | Compound: Cr2W2Br
Source: Alexandria via LeMat-Bulk
Functional: PBE
Structure: relaxed

a b c (Å): 7.4272 7.4272 3.0089
angles (deg): 90.00 90.00 90.00
With the nearest neighbours (Å) after each atom.
Fractional coordinates of all 10 atoms:
Cr 0.1356 0.3644 0.0000  6 W 2.55-2.79, 1 Cr 2.85
Cr 0.3644 0.8644 0.0000  6 W 2.55-2.79, 1 Cr 2.85
Cr 0.6356 0.1356 0.0000  6 W 2.55-2.79, 1 Cr 2.85
Cr 0.8644 0.6356 0.0000  6 W 2.55-2.79, 1 Cr 2.85
W 0.1410 0.6410 0.5000  6 Cr 2.55-2.79
W 0.3590 0.1410 0.5000  6 Cr 2.55-2.79
W 0.6410 0.8590 0.5000  6 Cr 2.55-2.79
W 0.8590 0.3590 0.5000  6 Cr 2.55-2.79
Br 0.0000 0.0000 0.5000  4 W 2.86, 2 Br 3.01
Br 0.5000 0.5000 0.5000  4 W 2.86, 2 Br 3.01

Computed properties:
- Fermi-level density of states (states/eV/atom) = 0.973
- space group = P4/mbm, No. 127

=====

x | Compound: Cr2W2Br
Source: Alexandria via LeMat-Bulk
Functional: PBE
Structure: relaxed

a b c (Å): 7.7270 7.7270 7.7270
angles (deg): 152.92 152.92 38.67
With the nearest neighbours (Å) after each atom.
Fractional coordinates of all 5 atoms:
Cr 0.2500 0.7500 0.5000  4 W 2.42, 4 Cr 2.56
Cr 0.7500 0.2500 0.5000  4 W 2.42, 4 Cr 2.56
W 0.1396 0.1396 0.0000  4 Cr 2.42
W 0.8604 0.8604 0.0000  4 Cr 2.42
Br 0.5000 0.5000 0.0000  8 W 3.27, 4 Br 3.62

Computed properties:
- Fermi-level density of states (states/eV/atom) = 0.946
- space group = I4/mmm, No. 139

=====

Which of them is most stable, and which least? Most stable: w; least stable: x.

=====

w | Compound: CrW3Br
Source: Alexandria via LeMat-Bulk
Functional: PBE
Structure: relaxed

a b c (Å): 4.5475 4.5475 4.5475
angles (deg): 90.00 90.00 90.00
With the nearest neighbours (Å) after each atom.
Fractional coordinates of all 5 atoms:
Cr 0.0000 0.0000 0.0000  12 W 3.22
W 0.0000 0.5000 0.5000  2 Br 2.27
W 0.5000 0.0000 0.5000  2 Br 2.27
W 0.5000 0.5000 0.0000  2 Br 2.27
Br 0.5000 0.5000 0.5000  6 W 2.27

Computed properties:
- Fermi-level density of states (states/eV/atom) = 1.438
- space group = Pm-3m, No. 221

=====

x | Compound: CrW3Br
Source: Alexandria via LeMat-Bulk
Functional: PBE
Structure: relaxed

a b c (Å): 4.5905 4.5905 4.5905
angles (deg): 90.00 90.00 90.00
With the nearest neighbours (Å) after each atom.
Fractional coordinates of all 5 atoms:
Cr 0.0000 0.0000 0.0000  6 W 2.30
W 0.0000 0.0000 0.5000  2 Cr 2.30
W 0.0000 0.5000 0.0000  2 Cr 2.30
W 0.5000 0.0000 0.0000  2 Cr 2.30
Br 0.5000 0.5000 0.5000  12 W 3.25

Computed properties:
- Fermi-level density of states (states/eV/atom) = 1.624
- space group = Pm-3m, No. 221

=====

Which of them is most stable, and which least? Most stable: x; least stable: w.

=====

w | Compound: CrW2Br2
Source: Alexandria via LeMat-Bulk
Functional: PBE
Structure: relaxed

a b c (Å): 7.8060 7.8060 2.9090
angles (deg): 90.00 90.00 90.00
With the nearest neighbours (Å) after each atom.
Fractional coordinates of all 10 atoms:
Cr 0.0000 0.0000 0.0000  2 Cr 2.91, 4 Br 3.04, 8 W 3.23
Cr 0.5000 0.5000 0.0000  2 Cr 2.91, 4 Br 3.04, 8 W 3.23
W 0.1754 0.3246 0.5000  6 Br 2.56-2.84
W 0.3246 0.8246 0.5000  6 Br 2.56-2.84
W 0.6754 0.1754 0.5000  6 Br 2.56-2.84
W 0.8246 0.6754 0.5000  6 Br 2.56-2.84
Br 0.1343 0.6343 0.0000  6 W 2.56-2.84
Br 0.3657 0.1343 0.0000  6 W 2.56-2.84
Br 0.6343 0.8657 0.0000  6 W 2.56-2.84
Br 0.8657 0.3657 0.0000  6 W 2.56-2.84

Computed properties:
- Fermi-level density of states (states/eV/atom) = 0.643
- space group = P4/mbm, No. 127

=====

x | Compound: CrW2Br2
Source: Alexandria via LeMat-Bulk
Functional: PBE
Structure: relaxed

a b c (Å): 6.7361 6.7361 6.7361
angles (deg): 144.28 144.28 51.41
With the nearest neighbours (Å) after each atom.
Fractional coordinates of all 5 atoms:
Cr 0.0000 0.0000 0.0000  8 Br 3.29, 8 W 3.67
W 0.2500 0.7500 0.5000  4 Br 2.57
W 0.7500 0.2500 0.5000  4 Br 2.57
Br 0.3759 0.3759 0.0000  4 W 2.57
Br 0.6241 0.6241 0.0000  4 W 2.57

Computed properties:
- Fermi-level density of states (states/eV/atom) = 0.863
- space group = I4/mmm, No. 139

=====

Which of them is most stable, and which least? Most stable: x; least stable: w.

=====

w | Compound: YCr2Br2
Source: Alexandria via LeMat-Bulk
Functional: PBE
Structure: relaxed

a b c (Å): 7.0206 7.0206 4.5751
angles (deg): 90.00 90.00 90.00
With the nearest neighbours (Å) after each atom.
Fractional coordinates of all 10 atoms:
Y 0.0000 0.0000 0.0000  4 Cr 2.93
Y 0.5000 0.5000 0.0000  4 Cr 2.93
Cr 0.0925 0.4075 0.0000  1 Cr 1.84
Cr 0.4075 0.9075 0.0000  1 Cr 1.84
Cr 0.5925 0.0925 0.0000  1 Cr 1.84
Cr 0.9075 0.5925 0.0000  1 Cr 1.84
Br 0.1820 0.3180 0.5000  2 Cr 2.45
Br 0.3180 0.8180 0.5000  2 Cr 2.45
Br 0.6820 0.1820 0.5000  2 Cr 2.45
Br 0.8180 0.6820 0.5000  2 Cr 2.45

Computed properties:
- Fermi-level density of states (states/eV/atom) = 1.202
- space group = P4/mbm, No. 127

=====

x | Compound: YCr2Br2
Source: Alexandria via LeMat-Bulk
Functional: PBE
Structure: relaxed

a b c (Å): 6.0154 6.0154 6.0154
angles (deg): 135.41 135.41 64.90
With the nearest neighbours (Å) after each atom.
Fractional coordinates of all 5 atoms:
Y 0.0000 0.0000 0.0000  8 Cr 3.35, 8 Br 3.41
Cr 0.4100 0.4100 0.0000  1 Cr 1.83
Cr 0.5900 0.5900 0.0000  1 Cr 1.83
Br 0.2500 0.7500 0.5000  4 Cr 2.80
Br 0.7500 0.2500 0.5000  4 Cr 2.80

Computed properties:
- Fermi-level density of states (states/eV/atom) = 0.737
- space group = I4/mmm, No. 139

=====

Which of them is most stable, and which least? Most stable: x; least stable: w.